(1)
An optimized crystal structure of Ca2PtRh, computed with PBE.

Calculated values
Energy = -0.3428 Ry per atom
Calculated formation energy = -30.37 kJ/mol of atoms
V = 85.2 Å³/cell
Fermi-level density of states = 2.32 states/eV/f.u.

Cell: 3.0761 4.7892 5.7861 Å, 90.00 90.00 90.00°
Atoms (fractional coordinates):
Ca (0.0000, 0.0000, 0.0000)
Ca (0.5000, 0.5000, 0.3823)
Pt (0.0000, 0.0000, 0.5144)
Rh (0.5000, 0.5000, 0.8695)

---

(2)
An optimized crystal structure of Ca8Pt2Rh3, computed with PBE.

Calculated values
Energy = -0.3206 Ry per atom
Calculated formation energy = -48.62 kJ/mol of atoms
V = 333.8 Å³/cell
Fermi-level density of states = 8.56 states/eV/f.u.

Cell: 8.5110 8.5110 4.9118 Å, 90.00 90.00 110.26°
Atoms (fractional coordinates):
Ca (0.1212, 0.8788, 0.0000)
Ca (0.1293, 0.3728, 0.5000)
Ca (0.3728, 0.1293, 0.5000)
Ca (0.3767, 0.6233, 0.0000)
Ca (0.6233, 0.3767, 0.0000)
Ca (0.6272, 0.8707, 0.5000)
Ca (0.8707, 0.6272, 0.5000)
Ca (0.8788, 0.1212, 0.0000)
Pt (0.2492, 0.7508, 0.5000)
Pt (0.7508, 0.2492, 0.5000)
Rh (0.2567, 0.2567, 0.0000)
Rh (0.5000, 0.5000, 0.5000)
Rh (0.7433, 0.7433, 0.0000)

---

(3)
An optimized crystal structure of Ca2PtRh, computed with PBE.

Calculated values
Energy = -0.3549 Ry per atom
Calculated formation energy = -46.33 kJ/mol of atoms
V = 83.9 Å³/cell
Fermi-level density of states = 3.39 states/eV/f.u.

Cell: 5.6945 5.6945 4.9591 Å, 105.64 105.64 32.92°
Atoms (fractional coordinates):
Ca (0.0000, 0.0000, 0.0000)
Ca (0.2065, 0.2065, 0.6257)
Pt (0.4536, 0.4536, 0.4744)
Rh (0.7532, 0.7532, 0.1491)

---

(4)
An optimized crystal structure of CaPtRh2, computed with PBE.

Calculated values
ΔE to the lowest computed polymorph = 0.475 eV per atom
Energy = -0.4025 Ry per atom
Calculated formation energy = 20.28 kJ/mol of atoms
V = 67.7 Å³/cell
Fermi-level density of states = 6.43 states/eV/f.u.

Cell: 9.2405 9.2405 9.2405 Å, 18.26 18.26 18.26°
Atoms (fractional coordinates):
Ca (0.0000, 0.0000, 0.0000)
Pt (0.5000, 0.5000, 0.5000)
Rh (0.2456, 0.2456, 0.2456)
Rh (0.7544, 0.7544, 0.7544)

---

(5)
An optimized crystal structure of CaPtRh2, computed with PBE.

Calculated values
ΔE to the lowest computed polymorph = 0.132 eV per atom
Energy = -0.4277 Ry per atom
Calculated formation energy = -12.81 kJ/mol of atoms
V = 67.8 Å³/cell
Fermi-level density of states = 4.15 states/eV/f.u.

Cell: 2.9024 2.9024 8.0484 Å, 90.00 90.00 90.00°
Atoms (fractional coordinates):
Ca (0.0000, 0.0000, 0.0000)
Pt (0.5000, 0.5000, 0.2748)
Rh (0.0000, 0.0000, 0.5092)
Rh (0.5000, 0.5000, 0.7185)

---

(6)
An optimized crystal structure of CaPtRh2, computed with PBE.

Calculated values
ΔE to the lowest computed polymorph = 0.399 eV per atom
Energy = -0.4081 Ry per atom
Calculated formation energy = 12.87 kJ/mol of atoms
V = 67.2 Å³/cell
Fermi-level density of states = 5.56 states/eV/f.u.

Cell: 9.3192 9.3192 9.3192 Å, 17.96 17.96 17.96°
Atoms (fractional coordinates):
Ca (0.0000, 0.0000, 0.0000)
Pt (0.7546, 0.7546, 0.7546)
Rh (0.2459, 0.2459, 0.2459)
Rh (0.5031, 0.5031, 0.5031)

---

Q: What is the formula in the third record?
A: Ca2PtRh